Entry 1:
First-principles (PBE) data for a geometry-optimized KSbTe2 structure, as listed in Alexandria via LeMat-Bulk.

POSCAR file:
```
KSbTe2
1.0
11.519 0.000 0.000
0.000 9.428 0.000
0.000 0.000 6.554
K Sb Te
4 4 8
Cartesian
1.506 0.416 0.000
4.253 5.130 3.277
7.266 4.298 0.000
10.013 9.011 3.277
0.466 5.958 6.319
5.294 1.244 3.042
6.225 8.183 6.319
11.054 3.470 3.042
0.817 6.014 3.418
1.658 1.700 3.261
4.102 6.414 6.538
4.942 1.300 0.141
6.577 8.127 3.418
7.417 3.014 3.261
9.862 7.727 6.538
10.702 3.414 0.141
```

## Properties
E_tot = -53.2 eV per cell
formation energy without anion corrections = -0.448 eV/atom



Entry 2:
First-principles (PBE) data for a geometry-optimized NiIr4W3 structure, as listed in Alexandria via LeMat-Bulk.

POSCAR file:
```
NiIr4W3
1.0
-1.963 1.963 7.609
1.963 -1.963 7.609
1.963 1.963 -7.609
Ni Ir W
1 4 3
Cartesian
0.000 0.000 0.000
1.963 0.000 1.858
1.963 0.000 5.751
0.000 1.963 1.858
0.000 1.963 5.751
0.000 0.000 3.736
0.000 0.000 7.609
0.000 0.000 11.482
```

## Properties
E_tot = -82.0 eV per cell
energy relative to the elements = -0.2446 eV per atom
D(E_F) = 0.6610 states/eV/atom



Entry 3:
First-principles (PBE) data for a geometry-optimized NdHoNi3 structure, as listed in Alexandria via LeMat-Bulk.

POSCAR file:
```
NdHoNi3
1.0
1.964 -12.096 0.000
1.964 12.096 0.000
0.000 0.000 4.010
Nd Ho Ni
2 2 6
Cartesian
1.964 10.344 3.007
1.964 -10.344 1.002
1.964 7.148 1.002
1.964 -7.148 3.007
1.964 4.274 1.002
1.964 2.963 3.007
1.964 0.612 3.007
1.964 -0.612 1.002
1.964 -2.963 1.002
1.964 -4.274 3.007
```

## Properties
E_tot = -57.2 eV per cell
energy relative to the elements = -0.3813 eV per atom
D(E_F) = 0.9737 states/eV/atom



Entry 4:
First-principles (PBE) data for a geometry-optimized SiPd2Rh structure, as listed in Alexandria via LeMat-Bulk.

POSCAR file:
```
SiPd2Rh
1.0
-1.831 1.831 9.226
1.831 -1.831 9.226
1.831 1.831 -9.226
Si Pd Rh
2 4 2
Cartesian
0.000 0.000 0.000
0.000 1.831 4.613
2.747 0.897 -2.306
0.897 0.916 2.306
-0.916 0.935 6.919
0.935 0.916 11.532
1.831 0.000 4.613
0.000 0.000 9.226
```

## Properties
E_tot = -46.8 eV per cell
formation energy without anion corrections = -0.056 eV/atom
D(E_F) = 0.8593 states/eV/atom



Entry 5:
First-principles (PBE) data for a geometry-optimized NaSi3C structure, as listed in Alexandria via LeMat-Bulk.

POSCAR file:
```
NaSi3C
1.0
4.881 0.000 0.000
0.000 4.881 0.000
0.000 0.000 4.881
Na Si C
1 3 1
Cartesian
0.000 0.000 0.000
0.000 0.000 2.441
0.000 2.441 0.000
2.441 0.000 0.000
2.441 2.441 2.441
```

## Properties
relative energy among the computed polymorphs = 1788 meV/atom
E_tot = -12.9 eV per cell
formation energy without anion corrections = 2.776 eV/atom
D(E_F) = 0.7322 states/eV/atom



Entry 6:
First-principles (PBE) data for a geometry-optimized Cs2TmF5 structure, as listed in Alexandria via LeMat-Bulk.

POSCAR file:
```
Cs2TmF5
1.0
-3.553 3.553 4.303
3.553 -3.553 4.303
3.553 3.553 -4.303
Cs Tm F
2 1 5
Cartesian
3.553 0.000 0.000
0.000 3.553 0.000
0.000 0.000 2.114
0.000 0.000 0.106
2.111 2.111 -1.640
1.441 -1.441 2.663
-1.441 1.441 2.663
1.441 1.441 2.663
```

## Properties
relative energy among the computed polymorphs = 128 meV/atom
E_tot = -42.6 eV per cell
formation energy without anion corrections = -3.378 eV/atom
D(E_F) = 0.0000 states/eV/atom



Entry 7:
First-principles (PBE) data for a geometry-optimized CrP5Pb2 structure, as listed in Alexandria via LeMat-Bulk.

POSCAR file:
```
CrP5Pb2
1.0
8.241 -2.623 0.000
8.241 2.623 0.000
-5.896 0.000 8.480
Cr P Pb
2 10 4
Cartesian
1.475 0.000 1.530
9.110 0.000 6.950
-5.097 0.000 7.742
1.185 1.109 5.310
3.596 0.000 0.731
5.293 1.045 4.240
9.400 1.109 3.170
1.185 -1.109 5.310
5.293 -1.045 4.240
6.989 0.000 7.750
9.400 -1.109 3.170
15.682 0.000 0.738
-1.488 0.000 6.352
6.362 0.000 1.686
4.223 0.000 6.794
12.073 0.000 2.128
```

## Properties
relative energy among the computed polymorphs = 17 meV/atom
E_tot = -85.2 eV per cell
energy relative to the elements = 0.1884 eV per atom
D(E_F) = 0.5493 states/eV/atom



Entry 8:
First-principles (PBE) data for a geometry-optimized Li8As2N structure, as listed in Alexandria via LeMat-Bulk.

POSCAR file:
```
Li8As2N
1.0
-2.100 2.720 6.544
2.100 -2.720 6.544
2.100 2.720 -6.544
Li As N
8 2 1
Cartesian
2.100 1.299 -1.504
0.000 0.000 2.786
0.000 1.194 0.000
2.100 1.299 1.504
0.000 1.422 5.040
0.000 4.247 0.000
0.000 0.000 10.302
0.000 1.422 8.048
2.100 0.000 4.323
0.000 2.720 2.222
2.100 0.000 0.000
```

## Properties
E_tot = -38.6 eV per cell
formation energy without anion corrections = -0.512 eV/atom
D(E_F) = 0.4843 states/eV/atom



Entry 9:
First-principles (PBE) data for a geometry-optimized Zr4CoRh structure, as listed in Alexandria via LeMat-Bulk.

POSCAR file:
```
Zr4CoRh
1.0
0.000 3.924 3.924
3.924 0.000 3.924
3.924 3.924 0.000
Zr Co Rh
4 1 1
Cartesian
2.947 2.947 2.947
4.901 4.901 2.947
4.901 2.947 4.901
2.947 4.901 4.901
0.000 0.000 0.000
5.886 5.886 5.886
```

## Properties
relative energy among the computed polymorphs = 973 meV/atom
E_tot = -45.2 eV per cell
energy relative to the elements = 0.5779 eV per atom
D(E_F) = 1.8158 states/eV/atom



Entry 10:
First-principles (PBE) data for a geometry-optimized Y8AuS6 structure, as listed in Alexandria via LeMat-Bulk.

POSCAR file:
```
Y8AuS6
1.0
10.160 0.000 0.000
-5.080 8.799 0.000
0.000 0.000 3.936
Y Au S
8 1 6
Cartesian
-3.260 6.228 0.992
1.316 2.862 0.992
3.136 0.291 2.945
0.000 5.866 2.950
5.080 2.933 0.986
1.944 8.508 0.992
3.764 5.937 2.945
8.340 2.570 2.945
0.000 0.000 1.968
-1.086 4.248 0.980
-0.858 7.615 0.980
3.136 3.064 2.956
1.944 5.735 0.980
5.938 1.184 2.956
6.166 4.551 2.956
```

## Properties
E_tot = -102.6 eV per cell
formation energy without anion corrections = -1.521 eV/atom
D(E_F) = 0.7473 states/eV/atom



Entry 11:
First-principles (PBE) data for a geometry-optimized TaNiHg structure, as listed in Alexandria via LeMat-Bulk.

POSCAR file:
```
TaNiHg
1.0
2.076 -2.076 0.000
2.076 2.076 0.000
-0.039 0.000 11.812
Ta Ni Hg
2 2 2
Cartesian
0.000 0.000 0.000
0.000 0.000 3.396
2.076 0.000 1.634
2.078 0.000 5.028
0.002 0.000 6.932
2.038 0.000 9.551
```

## Properties
relative energy among the computed polymorphs = 95 meV/atom
E_tot = -35.5 eV per cell
energy relative to the elements = 0.0702 eV per atom
D(E_F) = 0.8663 states/eV/atom



Entry 12:
First-principles (PBE) data for a geometry-optimized Cs4Er3ZrS8 structure, as listed in Alexandria via LeMat-Bulk.

POSCAR file:
```
Cs4Er3ZrS8
1.0
4.009 2.315 8.054
-4.009 2.315 8.054
0.000 -4.629 8.054
Cs Er Zr S
4 3 1 8
Cartesian
0.000 0.000 0.000
-2.005 -1.157 8.054
-2.005 1.157 16.107
0.000 2.315 8.054
-4.009 0.000 12.080
-2.005 1.157 4.027
2.005 1.157 4.027
0.000 0.000 12.080
0.000 0.000 5.487
-1.941 -1.120 13.525
0.000 -2.241 10.636
-1.941 1.120 10.636
1.941 -1.120 13.525
0.000 2.241 13.525
1.941 1.120 10.636
0.000 0.000 18.674
```

## Properties
E_tot = -86.0 eV per cell
formation energy without anion corrections = -1.711 eV/atom
D(E_F) = 0.3154 states/eV/atom



Question: The highest E_tot belongs to which entry?
Answer: NaSi3C